Here is NiHg4F10 after structural relaxation from the Alexandria database. Energies are from GGA+U.

Cell lengths 3.882, 3.882, 15.996 Å; angles 99.25, 99.25, 65.11 degrees
Element x y z (fractional)
Ni 0.000 0.000 0.000
Hg 0.203 0.203 0.605
Hg 0.389 0.389 0.185
Hg 0.611 0.611 0.815
Hg 0.797 0.797 0.395
F 0.028 0.028 0.126
F 0.150 0.150 0.447
F 0.254 0.254 0.763
F 0.327 0.327 0.035
F 0.443 0.443 0.340
F 0.557 0.557 0.660
F 0.673 0.673 0.965
F 0.746 0.746 0.237
F 0.850 0.850 0.553
F 0.972 0.972 0.874

Calculated density ... 8.1 g/cm3
SG ... C2/m
Raw total energy ... -45.3 eV per cell

Here is NiHg2F6 after structural relaxation from the Alexandria database. Energies are from GGA+U.

Cell lengths 5.488, 5.864, 9.267 Å; angles 90.00, 90.00, 90.00 degrees
Element x y z (fractional)
Ni 0.000 0.000 0.000
Ni 0.500 0.500 0.500
Hg 0.000 0.500 0.196
Hg 0.000 0.500 0.804
Hg 0.500 0.000 0.304
Hg 0.500 0.000 0.696
F 0.182 0.300 0.000
F 0.207 0.854 0.156
F 0.207 0.854 0.844
F 0.293 0.354 0.344
F 0.293 0.354 0.656
F 0.318 0.800 0.500
F 0.682 0.200 0.500
F 0.707 0.646 0.344
F 0.707 0.646 0.656
F 0.793 0.146 0.156
F 0.793 0.146 0.844
F 0.818 0.700 0.000

Calculated density ... 6.4 g/cm3
Fermi-level density of states ... 0.0000 states/eV/atom
SG ... Pnnm
Raw total energy ... -58.6 eV per cell

Here is Ni2HgF2 after structural relaxation from the Alexandria database. Energies are from GGA+U.

Cell lengths 7.060, 7.060, 2.794 Å; angles 90.00, 90.00, 90.00 degrees
Element x y z (fractional)
Ni 0.150 0.350 0.000
Ni 0.350 0.850 0.000
Ni 0.650 0.150 0.000
Ni 0.850 0.650 0.000
Hg 0.000 0.000 0.000
Hg 0.500 0.500 0.000
F 0.133 0.633 0.500
F 0.367 0.133 0.500
F 0.633 0.867 0.500
F 0.867 0.367 0.500

Calculated density ... 8.5 g/cm3
Fermi-level density of states ... 0.1646 states/eV/atom
Energy above the most stable polymorph in this dataset ... 0.1781 eV per atom
SG ... P4/mbm

Here is NiHgF4 after structural relaxation from the Alexandria database. Energies are from GGA+U.

Cell lengths 5.471, 5.279, 5.458 Å; angles 90.00, 94.51, 90.00 degrees
Element x y z (fractional)
Ni 0.000 0.000 0.000
Ni 0.000 0.500 0.500
Hg 0.500 0.000 0.500
Hg 0.500 0.500 0.000
F 0.137 0.199 0.717
F 0.137 0.301 0.217
F 0.325 0.652 0.605
F 0.325 0.848 0.105
F 0.675 0.152 0.895
F 0.675 0.348 0.395
F 0.863 0.699 0.783
F 0.863 0.801 0.283

Calculated density ... 7.1 g/cm3
Fermi-level density of states ... 0.0000 states/eV/atom
SG ... P2_1/c
Raw total energy ... -41.9 eV per cell

Here is Ni6Hg4F19 after structural relaxation from the Alexandria database. Energies are from GGA+U.

Cell lengths 8.054, 8.054, 8.054 Å; angles 109.47, 109.47, 109.47 degrees
Element x y z (fractional)
Ni 0.160 0.660 0.500
Ni 0.340 0.500 0.840
Ni 0.500 0.160 0.660
Ni 0.500 0.840 0.340
Ni 0.660 0.500 0.160
Ni 0.840 0.340 0.500
Hg 0.000 0.000 0.698
Hg 0.000 0.698 0.000
Hg 0.302 0.302 0.302
Hg 0.698 0.000 0.000
F 0.000 0.000 0.000
F 0.000 0.349 0.349
F 0.000 0.651 0.651
F 0.040 0.303 0.690
F 0.263 0.960 0.650
F 0.303 0.690 0.040
F 0.310 0.613 0.350
F 0.349 0.000 0.349
F 0.349 0.349 0.000
F 0.350 0.310 0.613
F 0.387 0.697 0.737
F 0.613 0.350 0.310
F 0.650 0.263 0.960
F 0.651 0.000 0.651
F 0.651 0.651 0.000
F 0.690 0.040 0.303
F 0.697 0.737 0.387
F 0.737 0.387 0.697
F 0.960 0.650 0.263

Calculated density ... 6.3 g/cm3
Fermi-level density of states ... 0.0981 states/eV/atom
SG ... I23
Raw total energy ... -104.4 eV per cell

Here is NiHg3F after structural relaxation from the Alexandria database. Energies are from GGA+U.

Cell lengths 4.887, 4.887, 4.887 Å; angles 90.00, 90.00, 90.00 degrees
Element x y z (fractional)
Ni 0.000 0.000 0.000
Hg 0.000 0.500 0.500
Hg 0.500 0.000 0.500
Hg 0.500 0.500 0.000
F 0.500 0.500 0.500

Calculated density ... 9.7 g/cm3
Fermi-level density of states ... 0.4848 states/eV/atom
Energy above the most stable polymorph in this dataset ... 0.5280 eV per atom
SG ... Pm-3m